Record 1
Compound: LiB2Pt2
Source: Alexandria via LeMat-Bulk
Functional: PBE
Structure: relaxed

Calculated values
Space-group type ... P4/mbm, No. 127
Distance to the lowest polymorph of the same formula ... 0 meV per atom

a = 6.3490 Å, b = 6.3490 Å, c = 2.7823 Å
α = 90.00°, β = 90.00°, γ = 90.00°
Closest atoms and distances in Å follow each position.
Atoms (fractional coordinates):
Li: 0.0000 0.0000 0.0000  8 Pt 2.65, 4 B 2.65, 2 Li 2.78
Li: 0.5000 0.5000 0.0000  8 Pt 2.65, 4 B 2.65, 2 Li 2.78
B: 0.0925 0.4075 0.0000  1 B 1.66
B: 0.4075 0.9075 0.0000  1 B 1.66
B: 0.5925 0.0925 0.0000  1 B 1.66
B: 0.9075 0.5925 0.0000  1 B 1.66
Pt: 0.2255 0.7255 0.5000  2 B 2.15
Pt: 0.2745 0.2255 0.5000  2 B 2.15
Pt: 0.7255 0.7745 0.5000  2 B 2.15
Pt: 0.7745 0.2745 0.5000  2 B 2.15



Record 2
Compound: LiBPt
Source: Alexandria via LeMat-Bulk
Functional: PBE
Structure: relaxed

Calculated values
Space-group type ... P-6m2, No. 187

a = 3.5388 Å, b = 3.5388 Å, c = 3.8079 Å
α = 90.00°, β = 90.00°, γ = 120.00°
Closest atoms and distances in Å follow each position.
Atoms (fractional coordinates):
Li: 0.0000 0.0000 0.0000  6 B 2.79, 6 Pt 2.79
B: 0.6667 0.3333 0.5000  3 Pt 2.04
Pt: 0.3333 0.6667 0.5000  3 B 2.04



Record 3
Compound: Li2BPt
Source: Alexandria via LeMat-Bulk
Functional: PBE
Structure: relaxed

Calculated values
Space-group type ... I-42d, No. 122

a = 3.2401 Å, b = 3.2401 Å, c = 17.8555 Å
α = 90.00°, β = 90.00°, γ = 90.00°
Closest atoms and distances in Å follow each position.
Atoms (fractional coordinates):
Li: 0.2322 0.2500 0.1250  4 Li 2.21-2.37
Li: 0.2500 0.7322 0.3750  4 Li 2.21-2.37
Li: 0.2500 0.7678 0.8750  4 Li 2.21-2.37
Li: 0.2678 0.2500 0.6250  4 Li 2.21-2.37
Li: 0.7322 0.7500 0.6250  4 Li 2.21-2.37
Li: 0.7500 0.2322 0.8750  4 Li 2.21-2.37
Li: 0.7500 0.2678 0.3750  4 Li 2.21-2.37
Li: 0.7678 0.7500 0.1250  4 Li 2.21-2.37
B: 0.0000 0.0000 0.0000  4 Pt 2.29, 4 Li 2.49
B: 0.0000 0.5000 0.2500  4 Pt 2.29, 4 Li 2.49
B: 0.5000 0.0000 0.7500  4 Pt 2.29, 4 Li 2.49
B: 0.5000 0.5000 0.5000  4 Pt 2.29, 4 Li 2.49
Pt: 0.0000 0.0000 0.5000  4 B 2.29, 4 Li 2.53
Pt: 0.0000 0.5000 0.7500  4 B 2.29, 4 Li 2.53
Pt: 0.5000 0.0000 0.2500  4 B 2.29, 4 Li 2.53
Pt: 0.5000 0.5000 0.0000  4 B 2.29, 4 Li 2.53



Record 4
Compound: LiBPt
Source: Alexandria via LeMat-Bulk
Functional: PBE
Structure: relaxed

Calculated values
Space-group type ... I4mm, No. 107

a = 2.9633 Å, b = 2.9633 Å, c = 9.1842 Å
α = 90.00°, β = 90.00°, γ = 90.00°
Closest atoms and distances in Å follow each position.
Atoms (fractional coordinates):
Li: 0.0000 0.0000 0.0000  1 B 2.52, 1 Pt 2.61
Li: 0.5000 0.5000 0.5000  1 B 2.52, 1 Pt 2.61
B: 0.0000 0.0000 0.2745  4 Pt 2.16
B: 0.5000 0.5000 0.7745  4 Pt 2.16
Pt: 0.0000 0.0000 0.7154  4 B 2.16
Pt: 0.5000 0.5000 0.2154  4 B 2.16



Record 5
Compound: LiBPt3
Source: Alexandria via LeMat-Bulk
Functional: PBE
Structure: relaxed

Calculated values
Space-group type ... Pm-3m, No. 221
Distance to the lowest polymorph of the same formula ... 128 meV per atom

a = 4.1688 Å, b = 4.1688 Å, c = 4.1688 Å
α = 90.00°, β = 90.00°, γ = 90.00°
Closest atoms and distances in Å follow each position.
Atoms (fractional coordinates):
Li: 0.0000 0.0000 0.0000  12 Pt 2.95
B: 0.5000 0.5000 0.5000  6 Pt 2.08
Pt: 0.0000 0.5000 0.5000  2 B 2.08
Pt: 0.5000 0.0000 0.5000  2 B 2.08
Pt: 0.5000 0.5000 0.0000  2 B 2.08



Record 6
Compound: LiBPt5
Source: Alexandria via LeMat-Bulk
Functional: PBE
Structure: relaxed

Calculated values
Space-group type ... C2/m, No. 12

a = 6.1442 Å, b = 6.1442 Å, c = 7.9078 Å
α = 117.06°, β = 117.06°, γ = 54.01°
Closest atoms and distances in Å follow each position.
Atoms (fractional coordinates):
Li: 0.0000 0.0000 0.0000  6 Pt 2.52-2.74
Li: 0.0000 0.0000 0.5000  8 Pt 2.38-2.62
B: 0.3375 0.3375 0.5737  6 Pt 2.15-2.18
B: 0.6625 0.6625 0.4263  6 Pt 2.15-2.18
Pt: 0.0179 0.5127 0.3280  2 B 2.18
Pt: 0.2475 0.7319 0.2537  1 B 2.15, 1 Li 2.38
Pt: 0.2503 0.2503 0.9990  10 Pt 2.71-2.88, 1 Li 2.74
Pt: 0.2681 0.7525 0.7463  1 B 2.15, 1 Li 2.38
Pt: 0.4873 0.9821 0.6720  2 B 2.18
Pt: 0.5127 0.0179 0.3280  2 B 2.18
Pt: 0.7319 0.2475 0.2537  1 B 2.15, 1 Li 2.38
Pt: 0.7497 0.7497 0.0010  10 Pt 2.71-2.88, 1 Li 2.74
Pt: 0.7525 0.2681 0.7463  1 B 2.15, 1 Li 2.38
Pt: 0.9821 0.4873 0.6720  2 B 2.18



no.,Fermi-level density of states (states/eV per atom),ΔE_f (eV per atom),final energy (eV/atom)
1,0.325,-0.26,-5.734
2,0.223,-0.31,-5.192
3,0.390,0.07,-4.064
4,0.446,-0.10,-4.978
5,0.016,-0.40,-5.748
6,0.845,-0.24,-5.784